(1)
Below is a relaxed structure of VFePt3, with properties calculated at the PBE level.

Unit cell a=4.1193 b=5.3382 c=7.1879 alpha=90.00 beta=90.00 gamma=90.00
Fractional coordinates of all 10 atoms:
V1 0.2500 0.2500 0.0698
V2 0.7500 0.7500 0.9302
Fe1 0.2500 0.7500 0.3527
Fe2 0.7500 0.2500 0.6473
Pt1 0.2500 0.2500 0.4317
Pt2 0.2500 0.5056 0.7824
Pt3 0.2500 0.9944 0.7824
Pt4 0.7500 0.0056 0.2176
Pt5 0.7500 0.4944 0.2176
Pt6 0.7500 0.7500 0.5683

- crystal system = orthorhombic
- formation enthalpy at 0 K (eV per formula unit) = -0.8
- E (eV per cell) = -73.0
- ΔE to the lowest computed polymorph (kJ per mole of atoms) = 24.0
- SG = Pmmn, No. 59

(2)
Below is a relaxed structure of RbPt2Au, with properties calculated at the PBE level.

Unit cell a=9.9281 b=9.9281 c=9.9281 alpha=150.80 beta=150.80 gamma=41.77
Fractional coordinates of all 8 atoms:
Rb1 0.0000 0.0000 0.0000
Rb2 0.7500 0.2500 0.5000
Pt1 0.3218 0.6250 0.1968
Pt2 0.3750 0.5718 0.6968
Pt3 0.4282 0.1250 0.8032
Pt4 0.8750 0.6782 0.3032
Au1 0.2500 0.7500 0.5000
Au2 0.5000 0.5000 0.0000

- crystal system = tetragonal
- formation enthalpy at 0 K (eV per formula unit) = 0.6
- E (eV per cell) = -31.4
- ΔE to the lowest computed polymorph (kJ per mole of atoms) = 0.0
- SG = I-42d, No. 122

(3)
Below is a relaxed structure of Li2HoZnAu4, with properties calculated at the PBE level.

Unit cell a=8.7664 b=8.7664 c=8.7664 alpha=29.54 beta=29.54 gamma=29.54
Fractional coordinates of all 8 atoms:
Li1 0.2389 0.2389 0.2389
Li2 0.7611 0.7611 0.7611
Ho1 0.0000 0.0000 0.0000
Zn1 0.5000 0.5000 0.5000
Au1 0.1267 0.1267 0.1267
Au2 0.3940 0.3940 0.3940
Au3 0.6060 0.6060 0.6060
Au4 0.8733 0.8733 0.8733

- crystal system = trigonal
- formation enthalpy at 0 K (eV per formula unit) = -4.6
- E (eV per cell) = -27.3
- SG = R-3m, No. 166